Material: TlVPbO4
Method: DFT, GGA+U
State: optimized geometry

The structure in POSCAR format:
```
TlVPbO4
1.0
6.639 0.000 0.578
0.000 6.057 0.000
-1.987 0.000 7.299
Tl V Pb O
2 2 2 8
direct
0.681 0.750 0.885
0.319 0.250 0.115
0.288 0.750 0.357
0.712 0.250 0.643
0.793 0.750 0.421
0.207 0.250 0.579
0.874 0.483 0.651
0.126 0.983 0.349
0.126 0.517 0.349
0.874 0.017 0.651
0.421 0.750 0.182
0.579 0.250 0.818
0.467 0.750 0.555
0.533 0.250 0.445
```

Calculated values
**Energy**: -6.277 eV per atom
**Space group**: P2_1/m
**DOS at the Fermi energy**: 0.000 states/eV/atom
**Magnetic moment**: 0.0 μB/cell